Record 1
# B2PtWSe, optimized geometry, DFT PBE
data_B2PtWSe
_cell_length_a 4.180
_cell_length_b 4.180
_cell_length_c 4.900
_cell_angle_alpha 90.00
_cell_angle_beta 90.00
_cell_angle_gamma 90.00
_space_group_name_H-M_alt 'P 4/m m m'
_space_group_IT_number 123
_space_group_name_Hall '-P 4 2'
loop_
_atom_site_label
_atom_site_fract_x
_atom_site_fract_y
_atom_site_fract_z
B1 0.000 0.500 0.000
Pt1 0.000 0.000 0.500
W1 0.500 0.500 0.000
Se1 0.500 0.500 0.500
# * crystal system: tetragonal
# * formation energy without anion corrections: 1399 meV per atom

Record 2
# Pm3BiAs, optimized geometry, DFT PBE
data_Pm3BiAs
_cell_length_a 8.673
_cell_length_b 4.372
_cell_length_c 15.984
_cell_angle_alpha 90.00
_cell_angle_beta 90.00
_cell_angle_gamma 90.00
_space_group_name_H-M_alt 'P n m a'
_space_group_IT_number 62
loop_
_space_group_symop_operation_xyz
'x,y,z'
'-x,-y,-z'
'-x+1/2,-y,z+1/2'
'x+1/2,y,-z+1/2'
'x+1/2,-y+1/2,-z+1/2'
'-x+1/2,y+1/2,z+1/2'
'-x,y+1/2,-z'
'x,-y+1/2,z'
loop_
_atom_site_label
_atom_site_fract_x
_atom_site_fract_y
_atom_site_fract_z
Pm1 0.019 0.250 0.107
Pm2 0.153 0.250 0.534
Pm3 0.176 0.750 0.285
Bi1 0.106 0.750 0.689
As1 0.190 0.250 0.948
# * offset from the most stable computed form: 0.0 meV per atom
# * crystal system: orthorhombic

Size of the total moment readings, ordered: 0.00, 0.00 μB/f.u.